# 1
Computed, not measured: TlFeReO2 after structural relaxation at the PBE with a Hubbard U level of DFT.

Results
**DFT total energy**: -5.415 eV per atom

Cell: 3.8489 3.8489 5.9476 Å, 90.00 90.00 90.00°
Fractional positions:
Tl (0.0000, 0.0000, 0.0000)
Fe (0.0000, 0.0000, 0.5000)
Re (0.5000, 0.5000, 0.0000)
O (0.0000, 0.5000, 0.5000)
O (0.5000, 0.0000, 0.5000)

# 2
Computed, not measured: AlCrFeO2 after structural relaxation at the PBE with a Hubbard U level of DFT.

Results
**DFT total energy**: -5.398 eV per atom

Cell: 3.8151 3.8151 5.2169 Å, 90.00 90.00 90.00°
Fractional positions:
Al (0.0000, 0.0000, 0.0000)
Cr (0.5000, 0.5000, 0.0000)
Fe (0.5000, 0.5000, 0.5000)
O (0.0000, 0.5000, 0.5000)
O (0.5000, 0.0000, 0.5000)